Computed, not measured: Li5Se3 at its PBEsol-relaxed geometry at the SCAN level of DFT.

Cell: 9.988 9.988 5.232 Å, 90.00 90.00 90.00°
Space group I4/mcm (No. 140)
Unique sites:
1 Li 0.000 0.500 0.250 [4 per cell]
2 Li 0.084 0.219 0.000 [16 per cell]
3 Se 0.000 0.000 0.250 [4 per cell]
4 Se 0.153 0.347 0.500 [8 per cell]

ΔE_f (raw) = -9.8 eV per formula unit
mass density = 3.456 g/cm³
DOS(E_F) = 3.89 states/eV/f.u.
magnetic moment = 0.0 μB per formula unit
uncorrected energy = -327.87 eV per cell